A relaxed VGeO2F crystal, computed with PBE+U.

The structure belongs to space group P4/mmm (No. 123); the cell edges are 3.838, 3.838 and 4.066 Å and the angles 90.00°, 90.00° and 90.00°. Symmetry generates all atoms from V at (0.000, 0.000, 0.000), Ge at (0.500, 0.500, 0.500), O at (0.000, 0.500, 0.000) and F at (0.000, 0.000, 0.500).

The value obtained for the density of states at the Fermi level is 3.54 states/eV/cell. The total energy is -30.1 eV per cell. The value obtained for the calculated volume is 11.98 Å³ per atom.